Here is a geometry-optimized LiMn3O5 structure from Alexandria via LeMat-Bulk. Energies are from PBE+U. Values from VASP.

Uncorrected energy (eV per cell): -255.64
Spin magnetization (μB/cell): 48.00

Geometry as Quantum ESPRESSO input:
```
&SYSTEM
  ibrav = 0, nat = 36, ntyp = 3
/
ATOMIC_SPECIES
Li 6.94 Li.upf
Mn 54.94 Mn.upf
O 16.00 O.upf
CELL_PARAMETERS angstrom
10.0068 0.0000 0.0000
0.0000 13.3581 0.0000
0.0000 0.0000 2.9447
ATOMIC_POSITIONS crystal
Li 0.2285 0.1364 0.0000
Li 0.2715 0.6364 0.0000
Li 0.7285 0.3636 0.0000
Li 0.7715 0.8636 0.0000
Mn 0.0000 0.0000 0.5000
Mn 0.0000 0.5000 0.0000
Mn 0.0081 0.2897 0.5000
Mn 0.2364 0.8838 0.0000
Mn 0.2636 0.3838 0.0000
Mn 0.4919 0.7897 0.5000
Mn 0.5000 0.0000 0.0000
Mn 0.5000 0.5000 0.5000
Mn 0.5081 0.2103 0.5000
Mn 0.7364 0.6162 0.0000
Mn 0.7636 0.1162 0.0000
Mn 0.9919 0.7103 0.5000
O 0.0852 0.6390 0.0000
O 0.1204 0.8384 0.5000
O 0.1255 0.0199 0.0000
O 0.1297 0.2550 0.0000
O 0.1383 0.4374 0.5000
O 0.3617 0.9374 0.5000
O 0.3703 0.7550 0.0000
O 0.3745 0.5199 0.0000
O 0.3796 0.3384 0.5000
O 0.4148 0.1390 0.0000
O 0.5852 0.8610 0.0000
O 0.6204 0.6616 0.5000
O 0.6255 0.4801 0.0000
O 0.6297 0.2450 0.0000
O 0.6383 0.0626 0.5000
O 0.8617 0.5626 0.5000
O 0.8703 0.7450 0.0000
O 0.8745 0.9801 0.0000
O 0.8796 0.1616 0.5000
O 0.9148 0.3610 0.0000
```